No. 1
Computed, not measured: crystalline Pr2AgHg at its relaxed geometry at the PBEsol level of DFT.

The raw total energy is -3.95 eV/atom. As for the energy of formation from the pure elements: -0.3849 eV per atom.

It has space group Fm-3m (No. 225), with a = 7.494 Å, b = 7.494 Å, c = 7.494 Å, α = 90.00°, β = 90.00° and γ = 90.00°. The distinct sites, in fractional coordinates, are Pr at (0.250, 0.250, 0.250), Ag at (0.000, 0.000, 0.000) and Hg at (0.000, 0.000, 0.500).



No. 2
Computed, not measured: crystalline Rb3AgHg at its relaxed geometry at the PBEsol level of DFT.

The raw total energy is -1.21 eV/atom. As for the energy of formation from the pure elements: 0.1840 eV per atom.

It has space group Pm-3m (No. 221), with a = 6.593 Å, b = 6.593 Å, c = 6.593 Å, α = 90.00°, β = 90.00° and γ = 90.00°. The distinct sites, in fractional coordinates, are Rb at (0.000, 0.000, 0.500), Ag at (0.000, 0.000, 0.000) and Hg at (0.500, 0.500, 0.500).



No. 3
Computed, not measured: crystalline ReAg3Hg at its relaxed geometry at the PBEsol level of DFT.

The raw total energy is -3.08 eV/atom. As for the energy of formation from the pure elements: 1.6893 eV per atom.

It has space group Pm-3m (No. 221), with a = 5.000 Å, b = 5.000 Å, c = 5.000 Å, α = 90.00°, β = 90.00° and γ = 90.00°. The distinct sites, in fractional coordinates, are Re at (0.000, 0.000, 0.000), Ag at (0.000, 0.000, 0.500) and Hg at (0.500, 0.500, 0.500).



No. 4
Computed, not measured: crystalline AgHgRh at its relaxed geometry at the PBEsol level of DFT.

The raw total energy is -3.82 eV/atom. As for the energy of formation from the pure elements: 0.1844 eV per atom.

It has space group Imm2 (No. 44), with a = 2.960 Å, b = 3.891 Å, c = 8.585 Å, α = 90.00°, β = 90.00° and γ = 90.00°. The distinct sites, in fractional coordinates, are Ag at (0.000, 0.000, 0.000), Hg at (0.000, 0.000, 0.673) and Rh at (0.000, 0.000, 0.336).



No. 5
Computed, not measured: crystalline Ag2HgRh at its relaxed geometry at the PBEsol level of DFT.

The raw total energy is -3.66 eV/atom. As for the energy of formation from the pure elements: 0.1758 eV per atom.

It has space group P2/m (No. 10), with a = 2.900 Å, b = 4.797 Å, c = 4.817 Å, α = 90.00°, β = 92.30° and γ = 90.00°. The distinct sites, in fractional coordinates, are Ag at (0.247, 0.000, 0.242), Hg at (0.000, 0.500, 0.500) and Rh at (0.500, 0.500, 0.000).



No. 6
Computed, not measured: crystalline Ag2HgRh at its relaxed geometry at the PBEsol level of DFT.

The raw total energy is -3.66 eV/atom. As for the energy of formation from the pure elements: 0.1729 eV per atom.

It has space group Cmmm (No. 65), with a = 5.606 Å, b = 8.159 Å, c = 2.889 Å, α = 90.00°, β = 90.00° and γ = 90.00°. The distinct sites, in fractional coordinates, are Ag at (0.250, 0.250, 0.000), Hg at (0.000, 0.000, 0.500) and Rh at (0.000, 0.500, 0.500).



No. 7
Computed, not measured: crystalline Ag2HgRh at its relaxed geometry at the PBEsol level of DFT.

The raw total energy is -3.70 eV/atom. As for the energy of formation from the pure elements: 0.1359 eV per atom.

It has space group I4/mmm (No. 139), with a = 4.020 Å, b = 4.020 Å, c = 8.149 Å, α = 90.00°, β = 90.00° and γ = 90.00°. The distinct sites, in fractional coordinates, are Ag at (0.000, 0.500, 0.250), Hg at (0.000, 0.000, 0.000) and Rh at (0.000, 0.000, 0.500).



No. 8
Computed, not measured: crystalline Ag4HgRh at its relaxed geometry at the PBEsol level of DFT.

The raw total energy is -3.30 eV/atom. As for the energy of formation from the pure elements: 0.3542 eV per atom.

It has space group F-43m (No. 216), with a = 7.462 Å, b = 7.462 Å, c = 7.462 Å, α = 90.00°, β = 90.00° and γ = 90.00°. The distinct sites, in fractional coordinates, are Ag at (0.125, 0.125, 0.125), Hg at (0.000, 0.000, 0.500) and Rh at (0.250, 0.250, 0.750).



No. 9
Computed, not measured: crystalline Ag2HgRh at its relaxed geometry at the PBEsol level of DFT.

The raw total energy is -3.62 eV/atom. As for the energy of formation from the pure elements: 0.2114 eV per atom.

It has space group Cmm2 (No. 35), with a = 2.952 Å, b = 4.796 Å, c = 9.452 Å, α = 90.00°, β = 90.00° and γ = 90.00°. The distinct sites, in fractional coordinates, are Ag at (0.000, 0.000, 0.000), Ag at (0.000, 0.500, 0.249), Hg at (0.000, 0.000, 0.514) and Rh at (0.000, 0.500, 0.759).



No. 10
Computed, not measured: crystalline Ag2HgRhW at its relaxed geometry at the PBEsol level of DFT.

The raw total energy is -3.67 eV/atom. As for the energy of formation from the pure elements: 2.1602 eV per atom.

It has space group P4/mmm (No. 123), with a = 4.885 Å, b = 4.885 Å, c = 5.086 Å, α = 90.00°, β = 90.00° and γ = 90.00°. The distinct sites, in fractional coordinates, are Ag at (0.000, 0.500, 0.000), Hg at (0.000, 0.000, 0.500), Rh at (0.500, 0.500, 0.500) and W at (0.000, 0.000, 0.000).



No. 11
Computed, not measured: crystalline Ag2HgRu at its relaxed geometry at the PBEsol level of DFT.

The raw total energy is -3.92 eV/atom. As for the energy of formation from the pure elements: 0.4208 eV per atom.

It has space group Cm (No. 8), with a = 9.484 Å, b = 2.764 Å, c = 5.097 Å, α = 90.00°, β = 99.02° and γ = 90.00°. The distinct sites, in fractional coordinates, are Ag at (0.000, 0.000, 0.000), Ag at (0.248, 0.000, 0.768), Hg at (0.255, 0.500, 0.278) and Ru at (0.003, 0.500, 0.507).



No. 12
Computed, not measured: crystalline AgHgRu2 at its relaxed geometry at the PBEsol level of DFT.

The raw total energy is -5.34 eV/atom. As for the energy of formation from the pure elements: 0.7154 eV per atom.

It has space group Cmmm (No. 65), with a = 2.808 Å, b = 4.708 Å, c = 9.590 Å, α = 90.00°, β = 90.00° and γ = 90.00°. The distinct sites, in fractional coordinates, are Ag at (0.000, 0.000, 0.000), Hg at (0.000, 0.000, 0.500) and Ru at (0.000, 0.500, 0.246).



No. 13
Computed, not measured: crystalline AgHgS2 at its relaxed geometry at the PBEsol level of DFT.

The raw total energy is -3.16 eV/atom.

It has space group I-42d (No. 122), with a = 5.723 Å, b = 5.723 Å, c = 11.409 Å, α = 90.00°, β = 90.00° and γ = 90.00°. The distinct sites, in fractional coordinates, are Ag at (0.000, 0.000, 0.000), Hg at (0.000, 0.000, 0.500) and S at (0.236, 0.250, 0.125).



No. 14
Computed, not measured: crystalline AgHg2Sb at its relaxed geometry at the PBEsol level of DFT.

The raw total energy is -2.12 eV/atom.

It has space group I4/mmm (No. 139), with a = 4.403 Å, b = 4.403 Å, c = 8.936 Å, α = 90.00°, β = 90.00° and γ = 90.00°. The distinct sites, in fractional coordinates, are Ag at (0.000, 0.000, 0.000), Hg at (0.000, 0.500, 0.250) and Sb at (0.000, 0.000, 0.500).



No. 15
Computed, not measured: crystalline AgHgSb2 at its relaxed geometry at the PBEsol level of DFT.

The raw total energy is -3.10 eV/atom.

It has space group R3m (No. 160, hexagonal axes), with a = 3.2309 Å, b = 3.2309 Å, c = 30.6273 Å, α = 90.00°, β = 90.00° and γ = 120.00°. The distinct sites, in fractional coordinates, are Ag at (0.0000, 0.0000, 0.0000), Hg at (0.0000, 0.0000, 0.7399), Sb at (0.0000, 0.0000, 0.2587) and Sb at (0.0000, 0.0000, 0.4930).